[1]
GdGaSnPt after structural relaxation, computed with PBE.

The space group is F-43m (No. 216) and the conventional cell measures 6.953, 6.953 and 6.953 Å, with angles of 90.00, 90.00 and 90.00 degrees. The asymmetric unit holds Gd at (0.000, 0.000, 0.000), Ga at (0.250, 0.250, 0.250), Sn at (0.000, 0.000, 0.500) and Pt at (0.250, 0.250, 0.750).

The value obtained for the total energy is -7.475 eV per atom. Its calculated volume is 21.007 Å³ per atom.

[2]
AcLa4ErTm2 after structural relaxation, computed with PBE.

The space group is C2/m (No. 12) and the conventional cell measures 11.550, 5.239 and 10.496 Å, with angles of 90.00, 117.08 and 90.00 degrees. The asymmetric unit holds Ac at (0.000, 0.000, 0.000), La at (0.246, 0.000, 0.869), La at (0.249, 0.500, 0.622), Er at (0.000, 0.000, 0.500) and Tm at (0.001, 0.500, 0.743).

The value obtained for the total energy is -4.626 eV per atom. Its calculated volume is 35.347 Å³ per atom.

[3]
CsCu2I6 after structural relaxation, computed with PBE.

The space group is C2/m (No. 12) and the conventional cell measures 12.262, 7.544 and 10.668 Å, with angles of 90.00, 122.25 and 90.00 degrees. The asymmetric unit holds Cs at (0.000, 0.000, 0.000), Cu at (0.122, 0.500, 0.437), I at (0.092, 0.500, 0.175), I at (0.128, 0.500, 0.688) and I at (0.136, 0.000, 0.443).

Its raw formation energy is -0.38 eV/atom. The value obtained for the total energy is -2.416 eV per atom. Its calculated volume is 46.371 Å³ per atom.

[4]
Al3Ga12Sn5 after structural relaxation, computed with PBE.

The space group is Ia-3d (No. 230) and the conventional cell measures 15.774, 15.774 and 15.774 Å, with angles of 90.00, 90.00 and 90.00 degrees. The asymmetric unit holds Al at (0.000, 0.250, 0.125), Ga at (0.015, 0.089, 0.654), Sn at (0.000, 0.000, 0.000) and Sn at (0.000, 0.250, 0.375).

The value obtained for the total energy is -3.238 eV per atom. Its calculated volume is 24.531 Å³ per atom.

[5]
Cs2BaAlV after structural relaxation, computed with PBE.

The space group is P4/mmm (No. 123) and the conventional cell measures 7.762, 7.762 and 6.030 Å, with angles of 90.00, 90.00 and 90.00 degrees. The asymmetric unit holds Cs at (0.000, 0.500, 0.000), Ba at (0.000, 0.000, 0.000), Al at (0.000, 0.000, 0.500) and V at (0.500, 0.500, 0.500).

The value obtained for the total energy is -1.885 eV per atom. Its calculated volume is 72.659 Å³ per atom.

[6]
CaUZn17 after structural relaxation, computed with PBE.

The space group is R3m (No. 160, hexagonal axes) and the conventional cell measures 8.9997, 8.9997 and 13.2602 Å, with angles of 90.00, 90.00 and 120.00 degrees. The asymmetric unit holds Ca at (0.0000, 0.0000, 0.0000), U at (0.0000, 0.0000, 0.3271), Zn at (0.0000, 0.0000, 0.5618), Zn at (0.0000, 0.0000, 0.7611), Zn at (0.9996, 0.2970, 0.6631), Zn at (0.0008, 0.5004, 0.1625), Zn at (0.0051, 0.5025, 0.8150) and Zn at (0.1732, 0.3464, 0.8447).

The value obtained for the total energy is -1.953 eV per atom. Its calculated volume is 16.318 Å³ per atom.

[7]
Ac2Tb5Sm4 after structural relaxation, computed with PBE.

The space group is C2/m (No. 12) and the conventional cell measures 24.558, 3.667 and 9.391 Å, with angles of 90.00, 111.77 and 90.00 degrees. The asymmetric unit holds Ac at (0.112, 0.000, 0.425), Tb at (0.000, 0.500, 0.000), Tb at (0.131, 0.000, 0.073), Tb at (0.233, 0.500, 0.337), Sm at (0.044, 0.000, 0.714) and Sm at (0.184, 0.500, 0.837).

The value obtained for the total energy is -4.434 eV per atom. Its calculated volume is 35.703 Å³ per atom.

[8]
Ca2TlFe after structural relaxation, computed with PBE.

The space group is P4/mmm (No. 123) and the conventional cell measures 3.503, 3.503 and 8.408 Å, with angles of 90.00, 90.00 and 90.00 degrees. The asymmetric unit holds Ca at (0.000, 0.000, 0.225), Tl at (0.500, 0.500, 0.500) and Fe at (0.500, 0.500, 0.000).

The value obtained for the total energy is -3.571 eV per atom. Its calculated volume is 25.800 Å³ per atom.

[9]
HoNpSb2 after structural relaxation, computed with PBE.

The space group is R-3m (No. 166, hexagonal axes) and the conventional cell measures 4.3726, 4.3726 and 21.5706 Å, with angles of 90.00, 90.00 and 120.00 degrees. The asymmetric unit holds Ho at (0.0000, 0.0000, 0.0000), Np at (0.0000, 0.0000, 0.5000) and Sb at (0.0000, 0.0000, 0.2506).

Its raw formation energy is -0.65 eV/atom. The value obtained for the total energy is -7.089 eV per atom. Its calculated volume is 29.765 Å³ per atom.

[10]
Np2PaFe9 after structural relaxation, computed with PBE.

The space group is P6_3/mmc (No. 194) and the conventional cell measures 4.7740, 4.7740 and 16.8919 Å, with angles of 90.00, 90.00 and 120.00 degrees. The asymmetric unit holds Np at (0.3333, 0.6667, 0.0340), Pa at (0.3333, 0.6667, 0.2500), Fe at (0.0000, 0.0000, 0.0000), Fe at (0.0000, 0.0000, 0.2500), Fe at (0.1662, 0.3324, 0.6279) and Fe at (0.3333, 0.6667, 0.7500).

The value obtained for the total energy is -9.299 eV per atom. Its calculated volume is 13.892 Å³ per atom.

[11]
NiGe3Pd after structural relaxation, computed with PBE.

The space group is Pm-3m (No. 221) and the conventional cell measures 4.547, 4.547 and 4.547 Å, with angles of 90.00, 90.00 and 90.00 degrees. The asymmetric unit holds Ni at (0.000, 0.000, 0.000), Ge at (0.000, 0.000, 0.500) and Pd at (0.500, 0.500, 0.500).

The value obtained for the total energy is -4.726 eV per atom. Its calculated volume is 18.796 Å³ per atom.

[12]
PmHoAlTl after structural relaxation, computed with PBE.

The space group is F-43m (No. 216) and the conventional cell measures 7.496, 7.496 and 7.496 Å, with angles of 90.00, 90.00 and 90.00 degrees. The asymmetric unit holds Pm at (0.000, 0.000, 0.000), Ho at (0.000, 0.000, 0.500), Al at (0.250, 0.250, 0.750) and Tl at (0.250, 0.250, 0.250).

The value obtained for the total energy is -4.198 eV per atom. Its calculated volume is 26.325 Å³ per atom.